## YRe2As (PBE)

Data for a relaxed structure of YRe2As.

```
4
Lattice="-1.231 -2.434 8.107 -4.041 -3.153 6.848 -1.632 -5.186 6.604" Properties=species:S:1:pos:R:3 pbc="T T T"
As -5.178 -8.079 16.169
Re -0.080 -0.125 0.250
Re -3.372 -5.261 10.529
Y -1.726 -2.693 5.390
```

Properties
ΔH_f (0 K)   536.2 meV per atom

## Li2TlRh (PBE)

Data for a relaxed structure of Li2TlRh.

```
4
Lattice="-0.342 2.737 -3.566 -3.026 0.008 0.296 -0.190 3.864 2.984" Properties=species:S:1:pos:R:3 pbc="T T T"
Li -0.044 0.130 0.104
Tl -2.583 4.272 0.677
Rh -0.975 2.336 -0.963
Li -1.565 1.806 1.536
```

Properties
ΔH_f (0 K)   -133.5 meV per atom